No. 1
Entry from the Alexandria database: a geometry-optimized BeCo2Cl structure (PBEsol).

Structure (POSCAR):
```
BeCo2Cl
1.0
-1.637 -1.093 1.867
1.113 -2.989 -0.773
4.123 2.529 3.125
Co Be Cl
2 1 1
direct
0.672 0.172 0.343
0.982 0.982 0.965
0.542 0.542 0.083
0.304 0.804 0.609
```

Summary:
Formation energy (no corrections) in eV per atom: 0.2736
SG: No. 44
Calculated total energy in Ha/atom: -0.187
Distance to the lowest polymorph of the same formula in eV per atom: 0.029
Fermi-level density of states in states/eV/f.u.: 4.6


No. 2
Entry from the Alexandria database: a geometry-optimized BeCo2Cl structure (PBEsol).

Structure (POSCAR):
```
BeCo2Cl
1.0
2.756 0.005 0.000
-0.028 4.285 0.000
-1.364 -2.145 3.692
Co Cl Be
2 1 1
direct
0.000 0.000 0.500
0.500 0.500 0.500
0.500 0.500 0.000
0.000 0.000 0.000
```

Summary:
Formation energy (no corrections) in eV per atom: 0.4801
SG: No. 12
Calculated total energy in Ha/atom: -0.180
Distance to the lowest polymorph of the same formula in eV per atom: 0.235
Fermi-level density of states in states/eV/f.u.: 4.6